[1]
Below is a relaxed MgIrW crystal, with properties calculated at the PBE-GGA level.

Results
Excess energy over the best structure of this formula in the dataset ... 140 meV per atom
Final energy ... -23.6 eV per cell
Formation energy ... -0.047 eV/atom
Total magnetic moment ... 0.0 μB per cell
Space-group type ... No. 107

Cell and atoms, written as POSCAR:
```
MgIrW
1.0
-1.449 1.449 5.741
1.449 -1.449 5.741
1.449 1.449 -5.741
Mg Ir W
1 1 1
direct
0.000 0.000 0.000
0.664 0.664 0.000
0.312 0.312 0.000
```

---

[2]
Below is a relaxed Pr3Nd2Tm6 crystal, with properties calculated at the PBE-GGA level.

Results
Excess energy over the best structure of this formula in the dataset ... 0 meV per atom
Final energy ... -48.6 eV per cell
Formation energy ... 0.191 eV/atom
Total magnetic moment ... 0.0 μB per cell
Space-group type ... No. 12

Cell and atoms, written as POSCAR:
```
Pr3Nd2Tm6
1.0
3.084 -5.349 0.000
3.084 5.349 0.000
-2.066 0.000 11.467
Pr Nd Tm
3 2 6
direct
0.000 0.000 0.000
0.336 0.664 0.000
0.664 0.336 0.000
0.167 0.833 0.500
0.833 0.167 0.500
0.084 0.417 0.251
0.250 0.250 0.749
0.417 0.084 0.251
0.583 0.916 0.749
0.750 0.750 0.251
0.916 0.583 0.749
```

---

[3]
Below is a relaxed NbAu2Br8 crystal, with properties calculated at the PBE-GGA level.

Results
Final energy ... -34.9 eV per cell
Total magnetic moment ... 0.0 μB per cell
Space-group type ... No. 2

Cell and atoms, written as POSCAR:
```
NbAu2Br8
1.0
6.853 0.000 0.000
-1.703 7.837 0.000
-2.485 -0.656 7.804
Nb Au Br
1 2 8
direct
0.000 0.000 0.000
0.474 0.418 0.289
0.526 0.582 0.711
0.200 0.893 0.827
0.208 0.486 0.468
0.217 0.321 0.000
0.261 0.949 0.270
0.739 0.051 0.730
0.783 0.679 0.000
0.792 0.514 0.532
0.800 0.107 0.173
```

---

[4]
Below is a relaxed Pr2Sm5YTm crystal, with properties calculated at the PBE-GGA level.

Results
Final energy ... -83.3 eV per cell
Formation energy ... 0.270 eV/atom
Total magnetic moment ... 0.0 μB per cell
Space-group type ... No. 140

Cell and atoms, written as POSCAR:
```
Pr2Sm5YTm
1.0
-4.318 4.318 8.245
4.318 -4.318 8.245
4.318 4.318 -8.245
Pr Sm Y Tm
4 10 2 2
direct
0.121 0.621 0.742
0.379 0.121 0.500
0.621 0.879 0.500
0.879 0.379 0.258
0.000 0.000 0.000
0.074 0.140 0.500
0.140 0.640 0.065
0.360 0.426 0.500
0.426 0.926 0.065
0.500 0.500 0.000
0.574 0.074 0.935
0.640 0.574 0.500
0.860 0.360 0.935
0.926 0.860 0.500
0.250 0.250 0.000
0.750 0.750 0.000
0.250 0.750 0.500
0.750 0.250 0.500
```

---

[5]
Below is a relaxed Li2Ac3ZnPd9 crystal, with properties calculated at the PBE-GGA level.

Results
Final energy ... -72.0 eV per cell
Formation energy ... -0.523 eV/atom
Total magnetic moment ... 0.0 μB per cell
Space-group type ... No. 164

Cell and atoms, written as POSCAR:
```
Li2Ac3ZnPd9
1.0
6.899 0.000 0.000
-3.449 5.974 0.000
0.000 0.000 7.259
Li Ac Zn Pd
2 3 1 9
direct
0.333 0.667 0.140
0.667 0.333 0.860
0.000 0.000 0.000
0.333 0.667 0.669
0.667 0.333 0.331
0.000 0.000 0.500
0.000 0.500 0.000
0.179 0.359 0.332
0.179 0.821 0.332
0.359 0.179 0.668
0.500 0.000 0.000
0.500 0.500 0.000
0.641 0.821 0.332
0.821 0.179 0.668
0.821 0.641 0.668
```

---

[6]
Below is a relaxed NaCa2Mg2As3O12 crystal, with properties calculated at the PBE-GGA level.

Results
Final energy ... -497.7 eV per cell
Total magnetic moment ... 0.0 μB per cell
Space-group type ... No. 142

Cell and atoms, written as POSCAR:
```
NaCa2Mg2As3O12
1.0
-6.257 6.257 6.267
6.257 -6.257 6.267
6.257 6.257 -6.267
Na Ca Mg As O
4 8 8 12 48
direct
0.125 0.375 0.750
0.375 0.125 0.250
0.625 0.875 0.750
0.875 0.625 0.250
0.129 0.250 0.379
0.250 0.371 0.121
0.250 0.871 0.621
0.371 0.750 0.121
0.629 0.250 0.879
0.750 0.129 0.379
0.750 0.629 0.879
0.871 0.750 0.621
0.000 0.000 0.000
0.000 0.000 0.500
0.000 0.500 0.000
0.000 0.500 0.500
0.500 0.000 0.000
0.500 0.000 0.500
0.500 0.500 0.000
0.500 0.500 0.500
0.123 0.750 0.873
0.125 0.875 0.250
0.250 0.123 0.873
0.250 0.623 0.373
0.375 0.625 0.750
0.377 0.250 0.627
0.623 0.750 0.373
0.625 0.375 0.250
0.750 0.377 0.627
0.750 0.877 0.127
0.875 0.125 0.750
0.877 0.250 0.127
0.015 0.305 0.899
0.017 0.207 0.122
0.084 0.707 0.690
0.094 0.884 0.399
0.106 0.983 0.690
0.107 0.616 0.412
0.116 0.015 0.210
0.116 0.607 0.912
0.195 0.203 0.588
0.195 0.485 0.601
0.203 0.116 0.008
0.207 0.584 0.190
0.293 0.483 0.378
0.297 0.305 0.912
0.305 0.893 0.008
0.305 0.906 0.290
0.384 0.297 0.492
0.384 0.594 0.899
0.393 0.805 0.508
0.394 0.084 0.878
0.406 0.805 0.790
0.416 0.106 0.622
0.483 0.606 0.190
0.485 0.384 0.290
0.515 0.616 0.710
0.517 0.394 0.810
0.584 0.894 0.378
0.594 0.195 0.210
0.606 0.916 0.122
0.607 0.195 0.492
0.616 0.406 0.101
0.616 0.703 0.508
0.695 0.094 0.710
0.695 0.107 0.992
0.703 0.695 0.088
0.707 0.517 0.622
0.793 0.416 0.810
0.797 0.884 0.992
0.805 0.515 0.399
0.805 0.797 0.412
0.884 0.393 0.088
0.884 0.985 0.790
0.893 0.384 0.588
0.894 0.017 0.310
0.906 0.116 0.601
0.916 0.293 0.310
0.983 0.793 0.878
0.985 0.695 0.101
```

---

[7]
Below is a relaxed TlAgClF crystal, with properties calculated at the PBE-GGA level.

Results
Final energy ... -13.3 eV per cell
Total magnetic moment ... 0.0 μB per cell
Space-group type ... No. 8

Cell and atoms, written as POSCAR:
```
TlAgClF
1.0
3.784 -2.183 0.000
3.784 2.183 0.000
-2.507 0.000 6.540
Tl Ag Cl F
1 1 1 1
direct
0.000 0.000 0.000
0.826 0.826 0.486
0.190 0.190 0.578
0.706 0.706 0.121
```

---

[8]
Below is a relaxed Rb2AgI crystal, with properties calculated at the PBE-GGA level.

Results
Excess energy over the best structure of this formula in the dataset ... 93 meV per atom
Final energy ... -17.3 eV per cell
Total magnetic moment ... 0.0 μB per cell
Space-group type ... No. 122

Cell and atoms, written as POSCAR:
```
Rb2AgI
1.0
-4.242 4.242 7.811
4.242 -4.242 7.811
4.242 4.242 -7.811
Rb Ag I
4 2 2
direct
0.121 0.625 0.996
0.375 0.371 0.496
0.629 0.125 0.004
0.875 0.879 0.504
0.000 0.000 0.000
0.750 0.250 0.500
0.250 0.750 0.500
0.500 0.500 0.000
```

---

[9]
Below is a relaxed ScBeGaPd crystal, with properties calculated at the PBE-GGA level.

Results
Final energy ... -20.2 eV per cell
Formation energy ... -0.493 eV/atom
Total magnetic moment ... 0.0 μB per cell
Space-group type ... No. 216

Cell and atoms, written as POSCAR:
```
ScBeGaPd
1.0
0.000 3.090 3.090
3.090 0.000 3.090
3.090 3.090 0.000
Sc Be Ga Pd
1 1 1 1
direct
0.000 0.000 0.000
0.750 0.750 0.750
0.250 0.250 0.250
0.500 0.500 0.500
```

---

[10]
Below is a relaxed BaNa2OsBr8 crystal, with properties calculated at the PBE-GGA level.

Results
Final energy ... -41.6 eV per cell
Total magnetic moment ... 2.0 μB per cell
Space-group type ... No. 2

Cell and atoms, written as POSCAR:
```
BaNa2OsBr8
1.0
6.713 0.000 0.000
0.556 6.870 0.000
0.644 1.083 8.988
Ba Na Os Br
1 2 1 8
direct
0.000 0.000 0.000
0.440 0.415 0.236
0.560 0.585 0.764
0.000 0.000 0.500
0.130 0.751 0.708
0.212 0.819 0.312
0.279 0.205 0.522
0.349 0.291 0.963
0.651 0.709 0.037
0.721 0.795 0.478
0.788 0.181 0.688
0.870 0.249 0.292
```

---

[11]
Below is a relaxed Al8V2Pt crystal, with properties calculated at the PBE-GGA level.

Results
Final energy ... -57.7 eV per cell
Formation energy ... -0.319 eV/atom
Total magnetic moment ... 0.0 μB per cell
Space-group type ... No. 12

Cell and atoms, written as POSCAR:
```
Al8V2Pt
1.0
8.632 -1.939 0.000
8.632 1.939 0.000
-1.307 0.000 5.324
Al V Pt
8 2 1
direct
0.039 0.039 0.313
0.217 0.217 0.099
0.360 0.360 0.714
0.391 0.391 0.249
0.609 0.609 0.751
0.640 0.640 0.286
0.783 0.783 0.901
0.961 0.961 0.687
0.201 0.201 0.589
0.799 0.799 0.411
0.500 0.500 0.000
```

---

[12]
Below is a relaxed KSbSCl2 crystal, with properties calculated at the PBE-GGA level.

Results
Excess energy over the best structure of this formula in the dataset ... 1170 meV per atom
Final energy ... -11.8 eV per cell
Total magnetic moment ... 0.8 μB per cell
Space-group type ... No. 123

Cell and atoms, written as POSCAR:
```
KSbSCl2
1.0
5.358 0.000 0.000
0.000 5.358 0.000
0.000 0.000 5.640
K Sb S Cl
1 1 1 2
direct
0.000 0.000 0.000
0.500 0.500 0.500
0.000 0.000 0.500
0.000 0.500 0.000
0.500 0.000 0.000
```

---

[13]
Below is a relaxed CeSiOs crystal, with properties calculated at the PBE-GGA level.

Results
Final energy ... -24.1 eV per cell
Total magnetic moment ... 0.0 μB per cell
Space-group type ... No. 187

Cell and atoms, written as POSCAR:
```
CeSiOs
1.0
4.214 0.000 0.000
-2.107 3.649 0.000
0.000 0.000 3.906
Ce Si Os
1 1 1
direct
0.000 0.000 0.000
0.333 0.667 0.500
0.667 0.333 0.500
```

---

[14]
Below is a relaxed Th3In4Hg2 crystal, with properties calculated at the PBE-GGA level.

Results
Excess energy over the best structure of this formula in the dataset ... 157 meV per atom
Final energy ... -69.9 eV per cell
Formation energy ... -0.125 eV/atom
Total magnetic moment ... 0.0 μB per cell
Space-group type ... No. 15

Cell and atoms, written as POSCAR:
```
Th3In4Hg2
1.0
6.220 -5.717 0.000
6.220 5.717 0.000
-1.623 0.000 7.221
Th In Hg
6 8 4
direct
0.077 0.923 0.750
0.215 0.508 0.346
0.492 0.785 0.154
0.508 0.215 0.846
0.785 0.492 0.654
0.923 0.077 0.250
0.120 0.274 0.613
0.266 0.546 0.852
0.274 0.120 0.113
0.454 0.734 0.648
0.546 0.266 0.352
0.726 0.880 0.887
0.734 0.454 0.148
0.880 0.726 0.387
0.007 0.700 0.040
0.300 0.993 0.460
0.700 0.007 0.540
0.993 0.300 0.960
```

---

[15]
Below is a relaxed Y2TlOs2 crystal, with properties calculated at the PBE-GGA level.

Results
Final energy ... -75.7 eV per cell
Formation energy ... -0.021 eV/atom
Total magnetic moment ... 0.0 μB per cell
Space-group type ... No. 127

Cell and atoms, written as POSCAR:
```
Y2TlOs2
1.0
7.170 0.000 0.000
0.000 7.170 0.000
0.000 0.000 4.367
Y Tl Os
4 2 4
direct
0.177 0.323 0.000
0.323 0.823 0.000
0.677 0.177 0.000
0.823 0.677 0.000
0.000 0.000 0.500
0.500 0.500 0.500
0.117 0.617 0.500
0.383 0.117 0.500
0.617 0.883 0.500
0.883 0.383 0.500
```

---

[16]
Below is a relaxed FeHgSeN2 crystal, with properties calculated at the PBE-GGA level.

Results
Excess energy over the best structure of this formula in the dataset ... 1259 meV per atom
Final energy ... -18.4 eV per cell
Total magnetic moment ... 6.8 μB per cell
Space-group type ... No. 123

Cell and atoms, written as POSCAR:
```
FeHgSeN2
1.0
4.096 0.000 0.000
0.000 4.096 0.000
0.000 0.000 6.107
Fe Hg Se N
1 1 1 2
direct
0.000 0.000 0.000
0.500 0.500 0.500
0.500 0.500 0.000
0.000 0.500 0.500
0.500 0.000 0.500
```

---

[17]
Below is a relaxed Nb2InRuPt crystal, with properties calculated at the PBE-GGA level.

Results
Final energy ... -28.4 eV per cell
Formation energy ... 1.963 eV/atom
Total magnetic moment ... 0.5 μB per cell
Space-group type ... No. 123

Cell and atoms, written as POSCAR:
```
Nb2InRuPt
1.0
5.005 0.000 0.000
0.000 5.005 0.000
0.000 0.000 4.735
Nb In Ru Pt
2 1 1 1
direct
0.000 0.500 0.000
0.500 0.000 0.000
0.000 0.000 0.000
0.500 0.500 0.500
0.000 0.000 0.500
```

---

[18]
Below is a relaxed Zr2TiFe crystal, with properties calculated at the PBE-GGA level.

Results
Excess energy over the best structure of this formula in the dataset ... 0 meV per atom
Final energy ... -33.8 eV per cell
Formation energy ... -0.081 eV/atom
Total magnetic moment ... 0.5 μB per cell
Space-group type ... No. 99

Cell and atoms, written as POSCAR:
```
Zr2TiFe
1.0
3.138 0.000 0.000
0.000 3.138 0.000
0.000 0.000 7.324
Zr Ti Fe
2 1 1
direct
0.000 0.000 0.000
0.500 0.500 0.308
0.500 0.500 0.717
0.000 0.000 0.539
```

---

[19]
Below is a relaxed Lu2SbN crystal, with properties calculated at the PBE-GGA level.

Results
Final energy ... -26.2 eV per cell
Total magnetic moment ... 0.0 μB per cell
Space-group type ... No. 166

Cell and atoms, written as POSCAR:
```
Lu2SbN
1.0
1.746 1.008 7.295
-1.746 1.008 7.295
0.000 -2.016 7.295
Lu Sb N
2 1 1
direct
0.224 0.224 0.224
0.776 0.776 0.776
0.000 0.000 0.000
0.500 0.500 0.500
```

---

[20]
Below is a relaxed Pm12NdDy3 crystal, with properties calculated at the PBE-GGA level.

Results
Final energy ... -75.3 eV per cell
Formation energy ... 0.015 eV/atom
Total magnetic moment ... 0.0 μB per cell
Space-group type ... No. 123

Cell and atoms, written as POSCAR:
```
Pm12NdDy3
1.0
5.137 0.000 0.000
0.000 5.137 0.000
0.000 0.000 20.509
Pm Nd Dy
12 1 3
direct
0.000 0.000 0.000
0.000 0.000 0.248
0.000 0.000 0.500
0.000 0.000 0.752
0.000 0.500 0.125
0.000 0.500 0.373
0.000 0.500 0.627
0.000 0.500 0.875
0.500 0.000 0.125
0.500 0.000 0.373
0.500 0.000 0.627
0.500 0.000 0.875
0.500 0.500 0.500
0.500 0.500 0.000
0.500 0.500 0.249
0.500 0.500 0.751
```